# RbAgPd2F8 (PBE-GGA, optimized geometry)
# - volume (Å³/f.u.) = 220.3
# - ΔE_f (raw) (kcal/mol of atoms) = -29.2
# - energy (eV/atom) = -3.70
data_RbAgPd2F8
_chemical_formula_sum 'Rb1 Ag1 Pd2 F8'
_cell_length_a 6.1243
_cell_length_b 6.1243
_cell_length_c 6.7830
_cell_angle_alpha 90.00
_cell_angle_beta 90.00
_cell_angle_gamma 120.00
_symmetry_space_group_name_H-M 'P 1'
_symmetry_Int_Tables_number 1
loop_
_symmetry_equiv_pos_as_xyz
'x,y,z'
loop_
_atom_site_label
_atom_site_type_symbol
_atom_site_fract_x
_atom_site_fract_y
_atom_site_fract_z
Rb1 Rb 0.0000 0.0000 0.0000
Ag1 Ag 0.0000 0.0000 0.5000
Pd1 Pd 0.3333 0.6667 0.4474
Pd2 Pd 0.6667 0.3333 0.5526
F1 F 0.0591 0.3754 0.6350
F2 F 0.3162 0.9409 0.6350
F3 F 0.3333 0.6667 0.1498
F4 F 0.3754 0.3162 0.3650
F5 F 0.6246 0.6838 0.6350
F6 F 0.6667 0.3333 0.8502
F7 F 0.6838 0.0591 0.3650
F8 F 0.9409 0.6246 0.3650